Entry from the Open Quantum Materials Database: La2YMg3AgHg2 after structural relaxation (PBE).

Cell lengths 4.2877, 7.9834, 7.9834 Å; angles 120.30, 90.00, 90.00 degrees
Fractional coordinates of all 9 atoms:
La (0.0000, 0.2056, 0.7944)
La (0.0000, 0.7944, 0.2056)
Y (0.0000, 0.6144, 0.6144)
Mg (0.5000, 0.2112, 0.4469)
Mg (0.5000, 0.4469, 0.2112)
Mg (0.5000, 0.9634, 0.9634)
Ag (0.0000, 0.2113, 0.2113)
Hg (0.5000, 0.5425, 0.8629)
Hg (0.5000, 0.8629, 0.5425)

Mass density   6.7 Mg/m³
Crystal system   orthorhombic
Total moment   0.0 μB per formula unit
VASP energy   -3.081 eV per atom

Entry from the Open Quantum Materials Database: GdDyCu2Si2 after structural relaxation (PBE).

Cell lengths 4.1481, 4.1481, 7.5708 Å; angles 90.00, 90.00, 120.00 degrees
Fractional coordinates of all 6 atoms:
Gd (0.0000, 0.0000, 0.0000)
Dy (0.0000, 0.0000, 0.5000)
Cu (0.3333, 0.6667, 0.2521)
Cu (0.6667, 0.3333, 0.7479)
Si (0.3333, 0.6667, 0.7477)
Si (0.6667, 0.3333, 0.2523)

Mass density   7.4 Mg/m³
Crystal system   trigonal
Total moment   0.0 μB per formula unit
VASP energy   -5.258 eV per atom

Entry from the Open Quantum Materials Database: TaNbCu6 after structural relaxation (PBE).

Cell lengths 4.3070, 5.5618, 4.4118 Å; angles 90.00, 90.00, 90.00 degrees
Fractional coordinates of all 8 atoms:
Ta (0.0000, 0.0000, 0.0000)
Nb (0.5000, 0.5000, 0.6563)
Cu (0.0000, 0.2515, 0.5014)
Cu (0.0000, 0.5000, 0.0186)
Cu (0.0000, 0.7485, 0.5014)
Cu (0.5000, 0.0000, 0.6432)
Cu (0.5000, 0.2448, 0.1561)
Cu (0.5000, 0.7552, 0.1561)

Energy of formation from the pure elements   10 kJ/mol of atoms
Mass density   10.3 Mg/m³
Crystal system   orthorhombic
Total moment   0.0 μB per formula unit
VASP energy   -5.422 eV per atom

Entry from the Open Quantum Materials Database: ZrIn after structural relaxation (PBE).

Cell lengths 5.4500, 5.4840, 6.2576 Å; angles 90.00, 91.49, 90.00 degrees
Fractional coordinates of all 8 atoms:
Zr (0.0000, 0.0000, 0.0000)
Zr (0.0487, 0.5000, 0.7727)
Zr (0.4939, 0.0000, 0.7679)
Zr (0.5538, 0.5000, 0.0028)
In (0.0558, 0.5000, 0.2593)
In (0.5065, 0.0000, 0.2541)
In (0.5425, 0.5000, 0.5172)
In (0.9926, 0.0000, 0.5132)

Mass density   7.3 Mg/m³
Crystal system   monoclinic
Total moment   0.0 μB per formula unit
VASP energy   -5.741 eV per atom

What did the fourth record say?
Entry from the Open Quantum Materials Database: ZrIn after structural relaxation (PBE).

Cell lengths 5.4500, 5.4840, 6.2576 Å; angles 90.00, 91.49, 90.00 degrees
Fractional coordinates of all 8 atoms:
Zr (0.0000, 0.0000, 0.0000)
Zr (0.0487, 0.5000, 0.7727)
Zr (0.4939, 0.0000, 0.7679)
Zr (0.5538, 0.5000, 0.0028)
In (0.0558, 0.5000, 0.2593)
In (0.5065, 0.0000, 0.2541)
In (0.5425, 0.5000, 0.5172)
In (0.9926, 0.0000, 0.5132)

Mass density   7.3 Mg/m³
Crystal system   monoclinic
Total moment   0.0 μB per formula unit
VASP energy   -5.741 eV per atom

Q: Look up the VASP energy of the second one.
A: -5.258 eV per atom

Q: What is the mass density in the fourth record?
A: 7.3 Mg/m³